DFT (GGA-PBE) results for a geometry-optimized Li4Tm3TiSe8 structure.

## Properties
Mass density (Mg/m³): 5.78
E_form (uncorrected) (eV per atom): -1.54
M_tot (μB per formula unit): 1.0
Electronic total energy (eV/atom): -5.10
SG: No. 166

Cell lengths 7.9103, 7.9103, 7.9103 Å; angles 59.82, 59.82, 59.82 degrees
Closest atoms and distances in Å follow each position.
Positions (direct):
Li1 0.0000 0.0000 0.0000  6 Se 2.89
Li2 0.0000 0.5000 0.5000  6 Se 2.77-2.78
Li3 0.5000 0.0000 0.5000  6 Se 2.77-2.78
Li4 0.5000 0.5000 0.0000  6 Se 2.77-2.78
Tm1 0.0000 0.0000 0.5000  6 Se 2.81-2.82
Tm2 0.0000 0.5000 0.0000  6 Se 2.81-2.82
Tm3 0.5000 0.0000 0.0000  6 Se 2.81-2.82
Ti1 0.5000 0.5000 0.5000  6 Se 2.69
Se1 0.2513 0.2513 0.2513  3 Li 2.78, 3 Tm 2.81
Se2 0.2591 0.2591 0.7366  1 Ti 2.69, 3 Li 2.77-2.89, 2 Tm 2.82
Se3 0.2591 0.7366 0.2591  1 Ti 2.69, 3 Li 2.77-2.89, 2 Tm 2.82
Se4 0.2634 0.7409 0.7409  1 Ti 2.69, 3 Li 2.77-2.89, 2 Tm 2.82
Se5 0.7366 0.2591 0.2591  1 Ti 2.69, 3 Li 2.77-2.89, 2 Tm 2.82
Se6 0.7409 0.2634 0.7409  1 Ti 2.69, 3 Li 2.77-2.89, 2 Tm 2.82
Se7 0.7409 0.7409 0.2634  1 Ti 2.69, 3 Li 2.77-2.89, 2 Tm 2.82
Se8 0.7487 0.7487 0.7487  3 Li 2.78, 3 Tm 2.81